Compound: BeCrClF2
Source: the Alexandria database
Functional: GGA+U
Structure: relaxed

Properties
VASP energy	-25.52	eV for the cell shown
calculated density	3.31	Mg/m³

Structure (extended XYZ):
```
5
Lattice="3.517 0.000 0.000 0.000 3.517 0.000 0.000 0.000 5.460" Properties=species:S:1:pos:R:3 pbc="T T T"
Be 0.000 0.000 0.000
Cr 1.758 1.758 2.730
Cl 0.000 0.000 2.730
F 0.000 1.758 0.000
F 1.758 0.000 0.000
```